No. 1
Density functional theory data (PBE) for a relaxed Pd2PbS2 crystal.

Summary:
- formation energy from raw total energies (kJ/mol of formula units) = -57
- total magnetic moment (μB/atom) = 0.000
- calculated volume (Å³/f.u.) = 97.3
- space group = I4/mmm (139)
- excess energy over the best structure of this formula in the dataset (meV/atom) = 33

a b c (Å): 4.179 4.179 6.308
angles (deg): 70.65 70.65 90.00
Atoms (fractional coordinates):
Pd: 0.750 0.250 0.500
Pb: 0.000 0.000 0.000
S: 0.629 0.629 0.741
Pd: 0.250 0.750 0.500
S: 0.371 0.371 0.259


No. 2
Density functional theory data (PBE) for a relaxed LiCoBPd2 crystal.

Summary:
- calculated formation energy (eV per atom) = -0.1503
- total magnetic moment (μB/atom) = 0.174
- calculated volume (Å³/f.u.) = 66.5
- space group = P4/mmm (123)

a b c (Å): 4.165 4.165 3.833
angles (deg): 90.00 90.00 90.00
Atoms (fractional coordinates):
Pd: 0.000 0.500 0.000
B: 0.000 0.000 0.000
Co: 0.000 0.000 0.500
Pd: 0.500 0.000 0.000
Li: 0.500 0.500 0.500


No. 3
Density functional theory data (PBE) for a relaxed ZrCoS crystal.

Summary:
- formation energy from raw total energies (kJ/mol of formula units) = -145
- total magnetic moment (μB/atom) = 0.000
- calculated volume (Å³/f.u.) = 48.9
- space group = C2/m (12)

a b c (Å): 3.439 3.442 11.246
angles (deg): 117.33 89.96 120.06
Atoms (fractional coordinates):
Co: 0.249 0.500 0.584
Zr: 0.466 0.931 0.132
Co: 0.751 0.500 0.416
Zr: 0.534 0.069 0.868
S: 0.327 0.650 0.325
S: 0.673 0.350 0.675


No. 4
Density functional theory data (PBE) for a relaxed NdThS2 crystal.

Summary:
- formation energy from raw total energies (kJ/mol of formula units) = -729
- total magnetic moment (μB/atom) = 0.000
- calculated volume (Å³/f.u.) = 94.8
- space group = P6_3/mmc (194)
- excess energy over the best structure of this formula in the dataset (meV/atom) = 35

a b c (Å): 3.963 3.963 13.945
angles (deg): 90.00 90.00 120.00
Atoms (fractional coordinates):
S: 0.667 0.333 0.624
S: 0.333 0.667 0.376
Nd: 0.000 0.000 0.500
S: 0.667 0.333 0.876
Th: 0.667 0.333 0.250
S: 0.333 0.667 0.124
Th: 0.333 0.667 0.750
Nd: 0.000 0.000 0.000